--- i ---
DFT (meta-GGA SCAN) results for Ca2ZrOs at its PBEsol-relaxed geometry.

abc: 3.0135 3.0135 10.0305
angles: 90.00 90.00 90.00
Each line ends with the local moment (μB).
Element x y z (fractional)
Ca1 0.0000 0.0000 0.7953  -0.01
Ca2 0.0000 0.0000 0.2047  -0.01
Os1 0.5000 0.5000 0.0000  0.80
Zr1 0.5000 0.5000 0.5000  -0.55

--- ii ---
DFT (meta-GGA SCAN) results for Ca2ZrOs at its PBEsol-relaxed geometry.

abc: 2.9199 5.7007 5.8932
angles: 61.08 84.99 79.59
Element x y z (fractional)
Ca1 0.0000 0.0000 0.5000
Ca2 0.0000 0.5000 0.5000
Os1 0.5000 0.5000 0.0000
Zr1 0.5000 0.0000 0.0000

Computed relative energies in units of meV/atom: i 39; ii 0

--- i ---
DFT (meta-GGA SCAN) results for Ca2ZrOs at its PBEsol-relaxed geometry.

abc: 3.0117 3.0117 10.5795
angles: 90.00 90.00 113.19
Element x y z (fractional)
Ca1 0.0000 0.0000 0.2904
Ca2 0.0000 0.0000 0.7096
Os1 0.5000 0.5000 0.5000
Zr1 0.5000 0.5000 0.0000

--- ii ---
DFT (meta-GGA SCAN) results for Ca2ZrOs at its PBEsol-relaxed geometry.

abc: 4.5155 4.5168 6.3860
angles: 110.71 90.00 119.99
Element x y z (fractional)
Ca1 0.0186 0.0373 0.0558
Ca2 0.2332 0.4664 0.6999
Os1 0.4590 0.9180 0.3769
Zr1 0.7892 0.5783 0.3674

Computed relative energies in units of meV/atom: i 514; ii 0

--- i ---
DFT (meta-GGA SCAN) results for CaPPb3 at its PBEsol-relaxed geometry.

abc: 5.4112 5.4112 5.4112
angles: 90.00 90.00 90.00
Element x y z (fractional)
Pb1 0.0000 0.5000 0.0000
Pb2 0.0000 0.0000 0.5000
Pb3 0.5000 0.0000 0.0000
P1 0.0000 0.0000 0.0000
Ca1 0.5000 0.5000 0.5000

--- ii ---
DFT (meta-GGA SCAN) results for CaPPb3 at its PBEsol-relaxed geometry.

abc: 5.6640 5.6640 5.6640
angles: 90.00 90.00 90.00
Each line ends with the local moment (μB).
Element x y z (fractional)
Pb1 0.0000 0.5000 0.0000  -0.02
Pb2 0.0000 0.0000 0.5000  -0.02
Pb3 0.5000 0.0000 0.0000  -0.02
P1 0.5000 0.5000 0.5000  0.54
Ca1 0.0000 0.0000 0.0000  0.02

Computed relative energies in units of meV/atom: i 0; ii 888

--- i ---
DFT (meta-GGA SCAN) results for Ca2PPt at its PBEsol-relaxed geometry.

abc: 3.1909 5.0418 5.0474
angles: 90.00 90.00 90.00
Element x y z (fractional)
Ca1 0.0000 0.0000 0.1180
Ca2 0.0000 0.5000 0.6315
P1 0.5000 0.0000 0.6148
Pt1 0.5000 0.5000 0.1356

--- ii ---
DFT (meta-GGA SCAN) results for Ca2PPt at its PBEsol-relaxed geometry.

abc: 4.0674 4.0674 5.7877
angles: 90.00 90.00 90.00
Each line ends with the local moment (μB).
Element x y z (fractional)
Ca1 0.0000 0.0000 0.5000  0.01
Ca2 0.5000 0.5000 0.0000  0.02
P1 0.0000 0.0000 0.0000  0.33
Pt1 0.5000 0.5000 0.5000  0.16

Computed relative energies in units of meV/atom: i 0; ii 186

--- i ---
DFT (meta-GGA SCAN) results for CaP2Pt at its PBEsol-relaxed geometry.

abc: 4.0103 3.7370 6.2423
angles: 90.00 90.00 122.45
Element x y z (fractional)
Ca1 0.5000 0.0000 0.0000
P1 0.0000 0.0000 0.6979
P2 0.0000 0.0000 0.3021
Pt1 0.5000 0.0000 0.5000

--- ii ---
DFT (meta-GGA SCAN) results for CaP2Pt at its PBEsol-relaxed geometry.

abc: 3.8061 6.0048 6.8577
angles: 90.00 90.00 108.48
Element x y z (fractional)
P1 0.5931 0.1863 0.9560
P2 0.4069 0.8137 0.4560
P3 0.5931 0.1863 0.5440
P4 0.4069 0.8137 0.0440
Ca1 0.8359 0.6719 0.7500
Ca2 0.1641 0.3281 0.2500
Pt1 0.1078 0.2156 0.7500
Pt2 0.8922 0.7844 0.2500

--- iii ---
DFT (meta-GGA SCAN) results for CaP2Pt at its PBEsol-relaxed geometry.

abc: 3.8594 4.4465 4.5441
angles: 95.55 90.00 90.00
Element x y z (fractional)
P1 0.0000 0.2695 0.3766
P2 0.0000 0.7305 0.6234
Ca1 0.5000 0.5000 0.0000
Pt1 0.5000 0.0000 0.5000

Computed relative energies in units of meV/atom: i 596; ii 20; iii 0

--- i ---
DFT (meta-GGA SCAN) results for CaReP2 at its PBEsol-relaxed geometry.

abc: 4.2620 4.4149 4.4149
angles: 62.67 61.14 61.14
Element x y z (fractional)
Ca1 0.5000 0.0000 0.0000
P1 0.2635 0.7365 0.7365
P2 0.7365 0.2635 0.2635
Re1 0.0000 0.5000 0.5000

--- ii ---
DFT (meta-GGA SCAN) results for CaReP2 at its PBEsol-relaxed geometry.

abc: 3.1511 4.5259 4.5259
angles: 98.70 97.40 97.40
Element x y z (fractional)
Ca1 0.5000 0.0000 0.0000
P1 0.0000 0.0000 0.5000
P2 0.0000 0.5000 0.0000
Re1 0.5000 0.5000 0.5000

--- iii ---
DFT (meta-GGA SCAN) results for CaReP2 at its PBEsol-relaxed geometry.

abc: 3.1226 3.2784 7.0859
angles: 103.38 102.73 90.00
Element x y z (fractional)
Ca1 0.1975 0.6975 0.3950
P1 0.0284 0.0284 0.0569
P2 0.8210 0.3210 0.6419
Re1 0.4531 0.4531 0.9062

Computed relative energies in units of meV/atom: i 288; ii 661; iii 0

--- i ---
DFT (meta-GGA SCAN) results for Sr3CaP at its PBEsol-relaxed geometry.

abc: 5.9558 5.9558 5.9558
angles: 90.00 90.00 90.00
Each line ends with the local moment (μB).
Element x y z (fractional)
Sr1 0.0000 0.5000 0.0000  0.04
Sr2 0.0000 0.0000 0.5000  0.04
Sr3 0.5000 0.0000 0.0000  0.04
Ca1 0.5000 0.5000 0.5000  0.06
P1 0.0000 0.0000 0.0000  0.03

--- ii ---
DFT (meta-GGA SCAN) results for Sr3CaP at its PBEsol-relaxed geometry.

abc: 6.1271 6.1271 6.1271
angles: 90.00 90.00 90.00
Each line ends with the local moment (μB).
Element x y z (fractional)
Sr1 0.0000 0.5000 0.0000  0.21
Sr2 0.0000 0.0000 0.5000  0.21
Sr3 0.5000 0.0000 0.0000  0.21
Ca1 0.0000 0.0000 0.0000  0.42
P1 0.5000 0.5000 0.5000  -0.22

Computed relative energies in units of meV/atom: i 0; ii 1540